An optimized crystal structure of K3Tb3TmTe8, computed with PBE.

Output
Symmetry ... No. 166
Size of the total moment ... 0.000 μB per atom
Formation energy from raw total energies ... -1319 meV/atom

abc: 8.7859 8.7905 9.9197
angles: 116.33 90.00 119.99
Element x y z (fractional)
Te: 0.2349 0.9727 0.7072
Te: 0.7652 0.5304 0.2927
Te: 0.7368 0.4735 0.7102
Te: 0.7651 0.0273 0.2928
Te: 0.2632 0.5265 0.2898
Te: 0.7379 0.9727 0.7072
Te: 0.2348 0.4696 0.7073
Te: 0.2621 0.0273 0.2928
K: 0.0000 0.0000 0.0000
K: 0.0000 0.5000 0.0000
K: 0.5000 0.5000 0.0000
Tb: 0.5000 0.0000 0.5000
Tb: 0.5000 0.5000 0.5000
Tb: 0.0000 0.5000 0.5000
Tm: 0.0000 0.0000 0.5000